Compound: Sm3Al3Zn
Source: the Alexandria database
Functional: PBE
Structure: relaxed

DOS at the Fermi energy in states/eV per cell: 11.49
Crystal system: monoclinic
Energy of formation from the pure elements in kJ per mole of atoms: -38.2
Energy in eV/atom: -4.204

abc: 5.9373 5.9373 14.5544
angles: 107.53 107.53 45.21
Fractional coordinates of all 14 atoms:
Sm1 0.0467 0.0467 0.3852
Sm2 0.0960 0.0960 0.9165
Sm3 0.2492 0.2492 0.2193
Sm4 0.7508 0.7508 0.7807
Sm5 0.9040 0.9040 0.0835
Sm6 0.9533 0.9533 0.6148
Al1 0.3694 0.3694 0.4549
Al2 0.3904 0.3904 0.9280
Al3 0.4508 0.4508 0.7629
Al4 0.5492 0.5492 0.2371
Al5 0.6096 0.6096 0.0720
Al6 0.6306 0.6306 0.5451
Zn1 0.2474 0.2474 0.6063
Zn2 0.7526 0.7526 0.3937